Arrangement one

A geometry-optimized SrTe2AsN structure. Source: Alexandria via LeMat-Bulk, functional PBE.

a = 6.151 Å, b = 6.151 Å, c = 4.279 Å
α = 90.00°, β = 90.00°, γ = 90.00°
Positions (direct):
Sr (0.000, 0.000, 0.000)
Te (0.000, 0.500, 0.000)
Te (0.500, 0.000, 0.000)
As (0.500, 0.500, 0.500)
N (0.000, 0.000, 0.500)

The calculation puts the calculated volume at 32.38 Å³/atom. As for the space group: P4/mmm (123). As for the total moment: 0.001 μB per cell.

=====

Arrangement two

A geometry-optimized SrTe2AsN structure. Source: Alexandria via LeMat-Bulk, functional PBE.

a = 5.904 Å, b = 5.904 Å, c = 3.762 Å
α = 90.00°, β = 90.00°, γ = 90.00°
Positions (direct):
Sr (0.000, 0.000, 0.000)
Te (0.000, 0.500, 0.500)
Te (0.500, 0.000, 0.500)
As (0.500, 0.500, 0.500)
N (0.500, 0.500, 0.000)

The calculation puts the calculated volume at 26.23 Å³/atom. As for the space group: P4/mmm (123). As for the total moment: 0.348 μB per cell.

=====

Energies relative to the most stable structure, in kJ/mol of atoms: arrangement one 108.0; arrangement two 0.0.

=====

Arrangement one

A geometry-optimized Sr2ZnAsN structure. Source: Alexandria via LeMat-Bulk, functional PBE.

a = 6.950 Å, b = 4.053 Å, c = 8.657 Å
α = 90.00°, β = 108.12°, γ = 90.00°
Positions (direct):
Sr (0.184, 0.250, 0.377)
Sr (0.201, 0.250, 0.966)
Sr (0.799, 0.750, 0.034)
Sr (0.816, 0.750, 0.623)
Zn (0.464, 0.750, 0.249)
Zn (0.536, 0.250, 0.751)
As (0.318, 0.750, 0.698)
As (0.682, 0.250, 0.302)
N (0.172, 0.750, 0.172)
N (0.828, 0.250, 0.828)

The calculation puts the calculated volume at 23.18 Å³/atom. As for the space group: P2_1/m (11). As for the total moment: 0.000 μB per cell.

=====

Arrangement two

A geometry-optimized Sr2ZnAsN structure. Source: Alexandria via LeMat-Bulk, functional PBE.

a = 5.326 Å, b = 5.326 Å, c = 3.939 Å
α = 90.00°, β = 90.00°, γ = 90.00°
Positions (direct):
Sr (0.000, 0.500, 0.000)
Sr (0.500, 0.000, 0.000)
Zn (0.000, 0.000, 0.500)
As (0.500, 0.500, 0.500)
N (0.000, 0.000, 0.000)

The calculation puts the calculated volume at 22.35 Å³/atom. As for the space group: P4/mmm (123). As for the total moment: 0.000 μB per cell.

=====

Energies relative to the most stable structure, in kJ/mol of atoms: arrangement one 0.0; arrangement two 13.5.

=====

Arrangement one

A geometry-optimized TaAs3N structure. Source: Alexandria via LeMat-Bulk, functional PBE.

a = 4.272 Å, b = 4.272 Å, c = 4.272 Å
α = 90.00°, β = 90.00°, γ = 90.00°
Positions (direct):
Ta (0.000, 0.000, 0.000)
As (0.000, 0.500, 0.500)
As (0.500, 0.000, 0.500)
As (0.500, 0.500, 0.000)
N (0.500, 0.500, 0.500)

The calculation puts the calculated volume at 15.59 Å³/atom. As for the space group: Pm-3m (221). As for the total moment: 0.000 μB per cell.

=====

Arrangement two

A geometry-optimized TaAs3N structure. Source: Alexandria via LeMat-Bulk, functional PBE.

a = 4.996 Å, b = 4.996 Å, c = 4.996 Å
α = 90.00°, β = 90.00°, γ = 90.00°
Positions (direct):
Ta (0.000, 0.000, 0.000)
As (0.000, 0.000, 0.500)
As (0.000, 0.500, 0.000)
As (0.500, 0.000, 0.000)
N (0.500, 0.500, 0.500)

The calculation puts the calculated volume at 24.94 Å³/atom. As for the space group: Pm-3m (221). As for the total moment: 1.915 μB per cell.

=====

Energies relative to the most stable structure, in kJ/mol of atoms: arrangement one 0.0; arrangement two 55.1.

=====

Arrangement one

A geometry-optimized TcAs3N structure. Source: Alexandria via LeMat-Bulk, functional PBE.

a = 4.225 Å, b = 4.225 Å, c = 4.225 Å
α = 90.00°, β = 90.00°, γ = 90.00°
Positions (direct):
Tc (0.000, 0.000, 0.000)
As (0.000, 0.500, 0.500)
As (0.500, 0.000, 0.500)
As (0.500, 0.500, 0.000)
N (0.500, 0.500, 0.500)

The calculation puts the calculated volume at 15.08 Å³/atom. As for the space group: Pm-3m (221). As for the total moment: 1.153 μB per cell.

=====

Arrangement two

A geometry-optimized TcAs3N structure. Source: Alexandria via LeMat-Bulk, functional PBE.

a = 4.721 Å, b = 4.721 Å, c = 4.721 Å
α = 90.00°, β = 90.00°, γ = 90.00°
Positions (direct):
Tc (0.000, 0.000, 0.000)
As (0.000, 0.000, 0.500)
As (0.000, 0.500, 0.000)
As (0.500, 0.000, 0.000)
N (0.500, 0.500, 0.500)

The calculation puts the calculated volume at 21.04 Å³/atom. As for the space group: Pm-3m (221). As for the total moment: 0.000 μB per cell.

=====

Energies relative to the most stable structure, in kJ/mol of atoms: arrangement one 0.0; arrangement two 54.1.

=====

Arrangement one

A geometry-optimized TcTe2AsN structure. Source: Alexandria via LeMat-Bulk, functional PBE.

a = 5.379 Å, b = 5.379 Å, c = 3.720 Å
α = 90.00°, β = 90.00°, γ = 90.00°
Positions (direct):
Tc (0.000, 0.000, 0.000)
Te (0.000, 0.500, 0.000)
Te (0.500, 0.000, 0.000)
As (0.500, 0.500, 0.500)
N (0.000, 0.000, 0.500)

The calculation puts the calculated volume at 21.53 Å³/atom. As for the space group: P4/mmm (123). As for the total moment: 0.000 μB per cell.

=====

Arrangement two

A geometry-optimized TcTe2AsN structure. Source: Alexandria via LeMat-Bulk, functional PBE.

a = 5.523 Å, b = 5.523 Å, c = 3.572 Å
α = 90.00°, β = 90.00°, γ = 90.00°
Positions (direct):
Tc (0.000, 0.000, 0.000)
Te (0.000, 0.500, 0.500)
Te (0.500, 0.000, 0.500)
As (0.500, 0.500, 0.500)
N (0.500, 0.500, 0.000)

The calculation puts the calculated volume at 21.79 Å³/atom. As for the space group: P4/mmm (123). As for the total moment: 2.715 μB per cell.

=====

Energies relative to the most stable structure, in kJ/mol of atoms: arrangement one 0.0; arrangement two 80.0.

=====

Arrangement one

A geometry-optimized TcTeAsN2 structure. Source: Alexandria via LeMat-Bulk, functional PBE.

a = 3.752 Å, b = 3.752 Å, c = 7.098 Å
α = 90.00°, β = 90.00°, γ = 90.00°
Positions (direct):
Tc (0.000, 0.000, 0.000)
Te (0.500, 0.500, 0.000)
As (0.500, 0.500, 0.500)
N (0.000, 0.500, 0.500)
N (0.500, 0.000, 0.500)

The calculation puts the calculated volume at 19.98 Å³/atom. As for the space group: P4/mmm (123). As for the total moment: 3.398 μB per cell.

=====

Arrangement two

A geometry-optimized TcTeAsN2 structure. Source: Alexandria via LeMat-Bulk, functional PBE.

a = 3.905 Å, b = 3.905 Å, c = 5.807 Å
α = 90.00°, β = 90.00°, γ = 90.00°
Positions (direct):
Tc (0.000, 0.000, 0.000)
Te (0.000, 0.000, 0.500)
As (0.500, 0.500, 0.500)
N (0.000, 0.500, 0.000)
N (0.500, 0.000, 0.000)

The calculation puts the calculated volume at 17.71 Å³/atom. As for the space group: P4/mmm (123). As for the total moment: 1.232 μB per cell.

=====

Energies relative to the most stable structure, in kJ/mol of atoms: arrangement one 85.5; arrangement two 0.0.

=====

Arrangement one

A geometry-optimized Te3AsN structure. Source: Alexandria via LeMat-Bulk, functional PBE.

a = 4.785 Å, b = 4.785 Å, c = 4.785 Å
α = 90.00°, β = 90.00°, γ = 90.00°
Positions (direct):
Te (0.000, 0.000, 0.500)
Te (0.000, 0.500, 0.000)
Te (0.500, 0.000, 0.000)
As (0.500, 0.500, 0.500)
N (0.000, 0.000, 0.000)

The calculation puts the calculated volume at 21.91 Å³/atom. As for the space group: Pm-3m (221). As for the total moment: 0.000 μB per cell.

=====

Arrangement two

A geometry-optimized Te3AsN structure. Source: Alexandria via LeMat-Bulk, functional PBE.

a = 5.360 Å, b = 5.360 Å, c = 5.360 Å
α = 90.00°, β = 90.00°, γ = 90.00°
Positions (direct):
Te (0.000, 0.000, 0.500)
Te (0.000, 0.500, 0.000)
Te (0.500, 0.000, 0.000)
As (0.000, 0.000, 0.000)
N (0.500, 0.500, 0.500)

The calculation puts the calculated volume at 30.79 Å³/atom. As for the space group: Pm-3m (221). As for the total moment: 0.000 μB per cell.

=====

Energies relative to the most stable structure, in kJ/mol of atoms: arrangement one 0.0; arrangement two 92.3.

=====

Arrangement one

A geometry-optimized Te2AsN structure. Source: Alexandria via LeMat-Bulk, functional PBE.

a = 4.180 Å, b = 4.180 Å, c = 22.323 Å
α = 90.00°, β = 90.00°, γ = 120.00°
Positions (direct):
Te (0.000, 0.000, 0.087)
Te (0.000, 0.000, 0.913)
Te (0.333, 0.667, 0.579)
Te (0.333, 0.667, 0.754)
Te (0.667, 0.333, 0.246)
Te (0.667, 0.333, 0.421)
As (0.000, 0.000, 0.500)
As (0.333, 0.667, 0.167)
As (0.667, 0.333, 0.833)
N (0.000, 0.000, 0.000)
N (0.333, 0.667, 0.667)
N (0.667, 0.333, 0.333)

The calculation puts the calculated volume at 28.15 Å³/atom. As for the space group: R-3m (166). As for the total moment: 0.000 μB per cell.

=====

Arrangement two

A geometry-optimized Te2AsN structure. Source: Alexandria via LeMat-Bulk, functional PBE.

a = 6.778 Å, b = 6.778 Å, c = 6.778 Å
α = 90.00°, β = 90.00°, γ = 90.00°
Positions (direct):
Te (0.250, 0.250, 0.250)
Te (0.250, 0.250, 0.750)
Te (0.250, 0.750, 0.250)
Te (0.250, 0.750, 0.750)
Te (0.750, 0.250, 0.250)
Te (0.750, 0.250, 0.750)
Te (0.750, 0.750, 0.250)
Te (0.750, 0.750, 0.750)
As (0.000, 0.000, 0.000)
As (0.000, 0.500, 0.500)
As (0.500, 0.000, 0.500)
As (0.500, 0.500, 0.000)
N (0.000, 0.000, 0.500)
N (0.000, 0.500, 0.000)
N (0.500, 0.000, 0.000)
N (0.500, 0.500, 0.500)

The calculation puts the calculated volume at 19.46 Å³/atom. As for the space group: Fm-3m (225). As for the total moment: 0.000 μB per cell.

=====

Energies relative to the most stable structure, in kJ/mol of atoms: arrangement one 0.0; arrangement two 48.2.